Entry 1:
Compound: La3Pm2
Source: Alexandria via LeMat-Bulk
Functional: GGA-PBE
Structure: relaxed

offset from the most stable computed form: 0 meV per atom

CIF file:
```
data_La3Pm2
_cell_length_a 3.7031
_cell_length_b 3.7031
_cell_length_c 45.3422
_cell_angle_alpha 90.00
_cell_angle_beta 90.00
_cell_angle_gamma 120.00
_symmetry_space_group_name_H-M 'R -3 m'
_symmetry_Int_Tables_number 166
_symmetry_space_group_name_Hall '-R 3 2"'
loop_
_atom_site_label
_atom_site_type_symbol
_atom_site_fract_x
_atom_site_fract_y
_atom_site_fract_z
La1 La 0.0000 0.0000 0.0000
La2 La 0.0000 0.0000 0.4011
Pm1 Pm 0.0000 0.0000 0.1991
```


Entry 2:
Compound: La8Pm
Source: Alexandria via LeMat-Bulk
Functional: GGA-PBE
Structure: relaxed

CIF file:
```
data_La8Pm
_cell_length_a 11.1208
_cell_length_b 11.1208
_cell_length_c 5.2789
_cell_angle_alpha 90.00
_cell_angle_beta 90.00
_cell_angle_gamma 90.00
_symmetry_space_group_name_H-M 'I 4/m m m'
_symmetry_Int_Tables_number 139
_symmetry_space_group_name_Hall '-I 4 2'
loop_
_atom_site_label
_atom_site_type_symbol
_atom_site_fract_x
_atom_site_fract_y
_atom_site_fract_z
La1 La 0.0000 0.3329 0.0000
La2 La 0.1668 0.1668 0.5000
Pm1 Pm 0.0000 0.0000 0.0000
```


We obtain formation energy values of 0.0131; 0.0087 eV/atom for the records listed above, in that order.